No. 1
FePdS2 | meta-GGA SCAN | single point on PBEsol structure

Cell lengths 3.1217, 3.1217, 21.3500 Å; angles 90.00, 90.00, 120.00 degrees
Space group R-3m (No. 166, hexagonal axes)
Asymmetric unit:
Fe  0.0000  0.0000  0.0000 (multiplicity 3)
Pd  0.0000  0.0000  0.5000 (multiplicity 3)
S  0.0000  0.0000  0.3943 (multiplicity 6)

Values from the calculation:
E_form (uncorrected): -30.6 kJ/mol of atoms


No. 2
Dy2Si9B36C | meta-GGA SCAN | single point on PBEsol structure

Cell lengths 12.442, 10.070, 7.968 Å; angles 90.00, 105.43, 90.00 degrees
Space group Cm (No. 8)
Asymmetric unit:
Dy  0.000  0.249  0.000 (multiplicity 4)
Si  0.012  0.000  0.836 (multiplicity 2)
Si  0.176  0.000  0.073 (multiplicity 2)
Si  0.211  0.195  0.245 (multiplicity 4)
Si  0.289  0.194  0.754 (multiplicity 4)
Si  0.294  0.500  0.457 (multiplicity 2)
Si  0.319  0.000  0.929 (multiplicity 2)
Si  0.486  0.000  0.159 (multiplicity 2)
B  0.014  0.157  0.676 (multiplicity 4)
B  0.038  0.087  0.480 (multiplicity 4)
B  0.053  0.325  0.700 (multiplicity 4)
B  0.092  0.221  0.377 (multiplicity 4)
B  0.103  0.371  0.517 (multiplicity 4)
B  0.124  0.500  0.055 (multiplicity 2)
B  0.132  0.207  0.606 (multiplicity 4)
B  0.139  0.410  0.871 (multiplicity 4)
B  0.214  0.355  0.080 (multiplicity 4)
B  0.232  0.500  0.774 (multiplicity 2)
B  0.256  0.500  0.204 (multiplicity 2)
B  0.283  0.357  0.909 (multiplicity 4)
B  0.357  0.410  0.125 (multiplicity 4)
B  0.370  0.200  0.394 (multiplicity 4)
B  0.371  0.500  0.935 (multiplicity 2)
B  0.402  0.355  0.494 (multiplicity 4)
B  0.410  0.214  0.626 (multiplicity 4)
B  0.446  0.322  0.302 (multiplicity 4)
B  0.462  0.084  0.523 (multiplicity 4)
B  0.489  0.151  0.328 (multiplicity 4)
C  0.182  0.500  0.565 (multiplicity 2)

Values from the calculation:
E_form (uncorrected): -23.6 kJ/mol of atoms


No. 3
In2IrOs | meta-GGA SCAN | single point on PBEsol structure

Cell lengths 4.699, 2.972, 5.160 Å; angles 90.00, 111.79, 90.00 degrees
Space group P2/m (No. 10)
Asymmetric unit:
In  0.000  0.000  0.000 (multiplicity 1)
In  0.000  0.500  0.500 (multiplicity 1)
Ir  0.500  0.000  0.500 (multiplicity 1)
Os  0.500  0.500  0.000 (multiplicity 1)

Values from the calculation:
ΔH_f (0 K): 0.3925 eV/atom


No. 4
CoTcTe3 | meta-GGA SCAN | single point on PBEsol structure

Cell lengths 4.844, 4.844, 4.844 Å; angles 90.00, 90.00, 90.00 degrees
Space group Pm-3m (No. 221)
Asymmetric unit:
Co  0.000  0.000  0.000 (multiplicity 1)
Tc  0.500  0.500  0.500 (multiplicity 1)
Te  0.000  0.000  0.500 (multiplicity 3)

Values from the calculation:
E_form (uncorrected): 94.7 kJ/mol of atoms


No. 5
La4YMg | meta-GGA SCAN | single point on PBEsol structure

Cell lengths 9.293, 9.293, 9.293 Å; angles 90.00, 90.00, 90.00 degrees
Space group F-43m (No. 216)
Asymmetric unit:
La  0.124  0.124  0.124 (multiplicity 16)
Y  0.000  0.000  0.500 (multiplicity 4)
Mg  0.250  0.250  0.750 (multiplicity 4)

Values from the calculation:
ΔH_f (0 K): 0.2164 eV/atom


No. 6
Ba2SrAlAu | meta-GGA SCAN | single point on PBEsol structure

Cell lengths 6.496, 6.496, 5.361 Å; angles 90.00, 90.00, 90.00 degrees
Space group P4/mmm (No. 123)
Asymmetric unit:
Ba  0.000  0.500  0.000 (multiplicity 2)
Sr  0.000  0.000  0.000 (multiplicity 1)
Al  0.000  0.000  0.500 (multiplicity 1)
Au  0.500  0.500  0.500 (multiplicity 1)

Values from the calculation:
ΔH_f (0 K): 0.8127 eV/atom